Computed, not measured: a geometry-optimized Na3CdCl structure at the PBE-GGA level of DFT.

It has space group Pm-3m (No. 221), with a = 5.827 Å, b = 5.827 Å, c = 5.827 Å, α = 90.00°, β = 90.00° and γ = 90.00°. The distinct sites, in fractional coordinates, are Na at (0.000, 0.000, 0.500), Cd at (0.000, 0.000, 0.000) and Cl at (0.500, 0.500, 0.500).

The value obtained for the energy is -7.567 eV per cell. As for the uncorrected formation energy: -0.170 eV/atom. Its polymorph energy (0 for the lowest one) is 400 meV per atom. The total magnetization comes out at 0.125 μB/cell.